Record 1
Below is crystalline PrTeAsO6 at its relaxed geometry, with properties calculated at the PBE level.

**Total moment**: 0.002 μB/f.u.
**Space-group type**: No. 163
**Total energy**: -6.367 eV/atom

Lattice parameters (Å, degrees): 5.3879 5.3879 9.9998 90.00 90.00 120.00
Last column: nearest neighbours and their distance in Å.
Fractional coordinates of all 18 atoms:
O  0.3777  0.0281  0.1396  1 Te 1.95, 1 As 2.15
O  0.9719  0.6223  0.3604  1 Te 1.95, 1 As 2.15
O  0.6504  0.0281  0.3604  1 Te 1.95, 1 As 2.15
O  0.9719  0.3496  0.1396  1 Te 1.95, 1 As 2.15
O  0.6223  0.6504  0.6396  1 Te 1.95, 1 As 2.15
O  0.6504  0.6223  0.1396  1 Te 1.95, 1 As 2.15
O  0.0281  0.3777  0.6396  1 Te 1.95, 1 As 2.15
O  0.3496  0.9719  0.6396  1 Te 1.95, 1 As 2.15
O  0.3777  0.3496  0.3604  1 Te 1.95, 1 As 2.15
O  0.3496  0.3777  0.8604  1 Te 1.95, 1 As 2.15
O  0.0281  0.6504  0.8604  1 Te 1.95, 1 As 2.15
O  0.6223  0.9719  0.8604  1 Te 1.95, 1 As 2.15
Pr  0.0000  0.0000  0.5000  6 O 2.41
Pr  0.0000  0.0000  0.0000  6 O 2.41
Te  0.6667  0.3333  0.2500  6 O 1.95
Te  0.3333  0.6667  0.7500  6 O 1.95
As  0.6667  0.3333  0.7500  6 O 2.15
As  0.3333  0.6667  0.2500  6 O 2.15

---

Record 2
Below is crystalline LuTcNiB at its relaxed geometry, with properties calculated at the PBE level.

**Total moment**: 0.072 μB/f.u.
**Space-group type**: No. 216
**Polymorph energy (0 for the lowest one)**: 0.253 eV per atom

Lattice parameters (Å, degrees): 4.2368 4.2368 4.2368 60.00 60.00 60.00
Last column: nearest neighbours and their distance in Å.
Fractional coordinates of all 4 atoms:
Ni  0.7500  0.7500  0.7500  4 Lu 2.59, 4 B 2.59
Tc  0.2500  0.2500  0.2500  4 B 2.59, 4 Lu 2.59
Lu  0.5000  0.5000  0.5000  4 Ni 2.59, 4 Tc 2.59
B  0.0000  0.0000  0.0000  4 Tc 2.59, 4 Ni 2.59

---

Record 3
Below is crystalline Dy2ErGa4Pd at its relaxed geometry, with properties calculated at the PBE level.

**Total moment**: 0.010 μB/f.u.
**Space-group type**: No. 38
**Total energy**: -4.462 eV/atom

Lattice parameters (Å, degrees): 6.6074 7.0785 7.0785 31.07 90.00 90.00
Last column: nearest neighbours and their distance in Å.
Fractional coordinates of all 8 atoms:
Ga  0.7669  0.0959  0.0959  1 Ga 2.64, 2 Pd 2.71, 1 Dy 2.91
Ga  0.2331  0.0959  0.0959  1 Ga 2.64, 2 Pd 2.71, 1 Dy 2.91
Ga  0.6905  0.9061  0.9061  2 Ga 2.52-2.64
Ga  0.3095  0.9061  0.9061  2 Ga 2.52-2.64
Er  0.0000  0.4599  0.4599  8 Ga 2.88-3.07
Dy  0.0000  0.7323  0.7323  6 Ga 3.07-3.13
Dy  0.5000  0.2657  0.2657  6 Ga 2.91-2.97
Pd  0.5000  0.5380  0.5380  8 Ga 2.71-2.90

---

Record 4
Below is crystalline LaSmAu2 at its relaxed geometry, with properties calculated at the PBE level.

**Total moment**: 0.014 μB/f.u.
**Space-group type**: No. 26
**E_form**: -0.8311 eV/atom

Lattice parameters (Å, degrees): 4.8220 5.8836 7.4553 90.00 90.00 90.00
Last column: nearest neighbours and their distance in Å.
Fractional coordinates of all 8 atoms:
Sm  0.5000  0.1074  0.8154  7 Au 3.10-3.19
Sm  0.5000  0.8926  0.3154  7 Au 3.10-3.19
Au  0.5000  0.3986  0.4586  2 Au 3.05, 3 Sm 3.10-3.16, 4 La 3.16-3.19
Au  0.0000  0.9005  0.0425  2 Au 3.05, 3 La 3.07-3.18, 4 Sm 3.16-3.19
Au  0.5000  0.6014  0.9586  2 Au 3.05, 3 Sm 3.10-3.16, 4 La 3.16-3.19
Au  0.0000  0.0995  0.5425  2 Au 3.05, 3 La 3.07-3.18, 4 Sm 3.16-3.19
La  0.0000  0.6091  0.6836  7 Au 3.07-3.19
La  0.0000  0.3909  0.1836  7 Au 3.07-3.19